(1)
VASP calculation (PBE-GGA) on a geometry-optimized PmAlZn4Cu2 structure.

Output
Calculated density = 6.81 Mg/m³
Energy relative to the elements = -112 kJ/mol of formula units

Lattice parameters (Å, degrees): 9.2436 9.2436 9.2436 26.31 26.31 26.31
Atoms (fractional coordinates):
Pm (0.0000, 0.0000, 0.0000)
Al (0.5000, 0.5000, 0.5000)
Zn (0.1231, 0.1231, 0.1231)
Zn (0.4016, 0.4016, 0.4016)
Zn (0.5984, 0.5984, 0.5984)
Zn (0.8769, 0.8769, 0.8769)
Cu (0.2349, 0.2349, 0.2349)
Cu (0.7651, 0.7651, 0.7651)

(2)
VASP calculation (PBE-GGA) on a geometry-optimized ZrCrAgS4 structure.

Output
Calculated density = 4.31 Mg/m³
Energy relative to the lowest polymorph listed for this composition = 50 meV per atom

Lattice parameters (Å, degrees): 7.2012 13.2056 6.1463 90.00 90.00 90.00
Atoms (fractional coordinates):
Zr (0.0000, 0.0000, 0.0000)
Zr (0.0000, 0.5000, 0.0000)
Zr (0.5000, 0.0000, 0.0000)
Zr (0.5000, 0.5000, 0.0000)
Cr (0.2500, 0.0015, 0.4980)
Cr (0.2500, 0.4985, 0.4980)
Cr (0.7500, 0.5015, 0.5020)
Cr (0.7500, 0.9985, 0.5020)
Ag (0.2500, 0.2500, 0.8336)
Ag (0.2500, 0.7500, 0.5073)
Ag (0.7500, 0.2500, 0.4927)
Ag (0.7500, 0.7500, 0.1664)
S (0.0037, 0.1064, 0.6486)
S (0.0037, 0.3936, 0.6486)
S (0.2500, 0.1103, 0.1779)
S (0.2500, 0.3897, 0.1779)
S (0.2500, 0.6087, 0.8200)
S (0.2500, 0.8913, 0.8200)
S (0.4963, 0.1064, 0.6486)
S (0.4963, 0.3936, 0.6486)
S (0.5037, 0.6064, 0.3514)
S (0.5037, 0.8936, 0.3514)
S (0.7500, 0.1087, 0.1800)
S (0.7500, 0.3913, 0.1800)
S (0.7500, 0.6103, 0.8221)
S (0.7500, 0.8897, 0.8221)
S (0.9963, 0.6064, 0.3514)
S (0.9963, 0.8936, 0.3514)

(3)
VASP calculation (PBE-GGA) on a geometry-optimized TaTi2Pb2 structure.

Output
Calculated density = 11.19 Mg/m³
Energy relative to the elements = 136 kJ/mol of formula units

Lattice parameters (Å, degrees): 7.5196 7.5196 3.6280 90.00 90.00 90.00
Atoms (fractional coordinates):
Ta (0.0000, 0.0000, 0.0000)
Ta (0.5000, 0.5000, 0.0000)
Ti (0.1601, 0.3399, 0.5000)
Ti (0.3399, 0.8399, 0.5000)
Ti (0.6601, 0.1601, 0.5000)
Ti (0.8399, 0.6601, 0.5000)
Pb (0.1430, 0.6430, 0.0000)
Pb (0.3570, 0.1430, 0.0000)
Pb (0.6430, 0.8570, 0.0000)
Pb (0.8570, 0.3570, 0.0000)

(4)
VASP calculation (PBE-GGA) on a geometry-optimized CsSr2OsO5 structure.

Output
Calculated density = 6.58 Mg/m³
Energy = -57.6 eV for the cell shown

Lattice parameters (Å, degrees): 6.9000 6.9000 6.9000 147.11 124.13 66.37
Atoms (fractional coordinates):
Cs (0.0000, 0.0000, 0.0000)
Sr (0.2764, 0.7764, 0.5000)
Sr (0.7236, 0.2236, 0.5000)
Os (0.5000, 0.5000, 0.0000)
O (0.1604, 0.3689, 0.7916)
O (0.4227, 0.6311, 0.7916)
O (0.5000, 0.0000, 0.5000)
O (0.5773, 0.3689, 0.2084)
O (0.8396, 0.6311, 0.2084)

(5)
VASP calculation (PBE-GGA) on a geometry-optimized BaMg structure.

Output
Calculated density = 2.02 Mg/m³
Energy relative to the elements = 120 kJ/mol of formula units

Lattice parameters (Å, degrees): 5.7266 5.7266 5.7266 60.00 60.00 60.00
Atoms (fractional coordinates):
Ba (0.0000, 0.0000, 0.0000)
Mg (0.2500, 0.2500, 0.2500)

(6)
VASP calculation (PBE-GGA) on a geometry-optimized KTaTlCl6 structure.

Output
Calculated density = 3.51 Mg/m³
Energy = -77.5 eV for the cell shown

Lattice parameters (Å, degrees): 7.5921 7.5921 12.0644 90.00 90.00 120.00
Atoms (fractional coordinates):
K (0.0000, 0.0000, 0.0000)
K (0.0000, 0.0000, 0.5000)
Ta (0.3333, 0.6667, 0.2500)
Ta (0.6667, 0.3333, 0.7500)
Tl (0.3333, 0.6667, 0.7500)
Tl (0.6667, 0.3333, 0.2500)
Cl (0.0741, 0.4038, 0.1338)
Cl (0.0741, 0.6704, 0.3662)
Cl (0.3296, 0.4038, 0.3662)
Cl (0.3296, 0.9259, 0.1338)
Cl (0.4038, 0.0741, 0.6338)
Cl (0.4038, 0.3296, 0.8662)
Cl (0.5962, 0.6704, 0.1338)
Cl (0.5962, 0.9259, 0.3662)
Cl (0.6704, 0.0741, 0.8662)
Cl (0.6704, 0.5962, 0.6338)
Cl (0.9259, 0.3296, 0.6338)
Cl (0.9259, 0.5962, 0.8662)

(7)
VASP calculation (PBE-GGA) on a geometry-optimized Ho2Tm5Tl structure.

Output
Calculated density = 7.21 Mg/m³
Energy relative to the elements = 519 kJ/mol of formula units
Energy relative to the lowest polymorph listed for this composition = 671 meV per atom

Lattice parameters (Å, degrees): 10.7805 10.7805 11.4488 90.00 90.00 151.51
Atoms (fractional coordinates):
Ho (0.1301, 0.8699, 0.6048)
Ho (0.1301, 0.8699, 0.8952)
Ho (0.8699, 0.1301, 0.1048)
Ho (0.8699, 0.1301, 0.3952)
Tm (0.0304, 0.9696, 0.1212)
Tm (0.0304, 0.9696, 0.3788)
Tm (0.2725, 0.7275, 0.0811)
Tm (0.2725, 0.7275, 0.4189)
Tm (0.2746, 0.7254, 0.7500)
Tm (0.7254, 0.2746, 0.2500)
Tm (0.7275, 0.2725, 0.5811)
Tm (0.7275, 0.2725, 0.9189)
Tm (0.9696, 0.0304, 0.6212)
Tm (0.9696, 0.0304, 0.8788)
Tl (0.1545, 0.8455, 0.2500)
Tl (0.8455, 0.1545, 0.7500)

(8)
VASP calculation (PBE-GGA) on a geometry-optimized LaZrTc2 structure.

Output
Calculated density = 8.30 Mg/m³
Energy relative to the elements = 68 kJ/mol of formula units
Energy relative to the lowest polymorph listed for this composition = 112 meV per atom

Lattice parameters (Å, degrees): 3.1830 4.3161 6.2457 90.00 96.36 90.00
Atoms (fractional coordinates):
La (0.0000, 0.0000, 0.0000)
Zr (0.5000, 0.0000, 0.5000)
Tc (0.1673, 0.5000, 0.6860)
Tc (0.8327, 0.5000, 0.3140)

| no. | magnetic moment (μB/cell) |
| --- | --- |
| 1 | 0.00 |
| 2 | 11.99 |
| 3 | 0.00 |
| 4 | 1.03 |
| 5 | 0.00 |
| 6 | 2.00 |
| 7 | 0.00 |
| 8 | 0.00 |